No. 1
Below is crystalline Sn3Pb at its relaxed geometry, with properties calculated at the PBE level.

Lattice parameters (Å, degrees): 5.259 5.259 5.567 118.19 118.19 90.00
Fractional coordinates of all 4 atoms:
Pb1 0.000 0.000 0.000
Sn1 0.750 0.250 0.500
Sn2 0.250 0.750 0.500
Sn3 0.500 0.500 0.000

Values from the calculation:
Total magnetization (Bohr magnetons per cell): 0.0
V (Å³/cell): 114.6
Space-group type: No. 139
ΔH_f (0 K) (eV per atom): 0.071
E_tot (eV/atom): -3.858

=====

No. 2
Below is crystalline Ba2Al4Ag3Sn at its relaxed geometry, with properties calculated at the PBE level.

Lattice parameters (Å, degrees): 4.648 4.648 11.410 90.00 90.00 90.00
Fractional coordinates of all 10 atoms:
Ba1 0.500 0.000 0.245
Ba2 0.000 0.500 0.755
Al1 0.500 0.500 0.000
Al2 0.000 0.000 0.000
Al3 0.500 0.000 0.641
Al4 0.000 0.500 0.359
Ag1 0.000 0.000 0.500
Ag2 0.500 0.000 0.877
Ag3 0.000 0.500 0.123
Sn1 0.500 0.500 0.500

Values from the calculation:
Total magnetization (Bohr magnetons per cell): 0.0
V (Å³/cell): 246.5
Space-group type: No. 115
ΔH_f (0 K) (eV per atom): -0.251
E_tot (eV/atom): -3.388

=====

No. 3
Below is crystalline PmTiCo at its relaxed geometry, with properties calculated at the PBE level.

Lattice parameters (Å, degrees): 4.567 3.234 11.105 90.00 90.00 134.92
Site moments in Bohr magnetons follow the coordinates.
Fractional coordinates of all 6 atoms:
Co1 0.694 0.388 0.000  -0.04
Co2 0.195 0.389 0.500  1.00
Pm1 0.695 0.389 0.338  0.02
Pm2 0.695 0.389 0.662  0.02
Ti1 0.194 0.389 0.883  0.50
Ti2 0.194 0.389 0.117  0.50

Values from the calculation:
Total magnetization (Bohr magnetons per cell): 2.4
V (Å³/cell): 116.1
Space-group type: No. 65
ΔH_f (0 K) (eV per atom): 0.091
E_tot (eV/atom): -6.493

=====

No. 4
Below is crystalline Zr3ScTc at its relaxed geometry, with properties calculated at the PBE level.

Lattice parameters (Å, degrees): 4.869 4.869 4.869 90.00 90.00 90.00
Fractional coordinates of all 5 atoms:
Sc1 0.000 0.000 0.000
Tc1 0.500 0.500 0.500
Zr1 0.000 0.500 0.000
Zr2 0.000 0.000 0.500
Zr3 0.500 0.000 0.000

Values from the calculation:
Total magnetization (Bohr magnetons per cell): 0.0
V (Å³/cell): 115.4
Space-group type: No. 221
Relative energy among the computed polymorphs (eV/f.u.): 7.896
ΔH_f (0 K) (eV per atom): 1.512
E_tot (eV/atom): -6.956

=====

No. 5
Below is crystalline K2IrRh at its relaxed geometry, with properties calculated at the PBE level.

Lattice parameters (Å, degrees): 11.784 11.784 11.784 14.98 14.98 14.98
Site moments in Bohr magnetons follow the coordinates.
Fractional coordinates of all 4 atoms:
Ir1 0.764 0.764 0.764  0.57
K1 0.019 0.019 0.019  0.02
K2 0.231 0.231 0.231  0.02
Rh1 0.486 0.486 0.486  0.69

Values from the calculation:
Total magnetization (Bohr magnetons per cell): 1.6
V (Å³/cell): 95.2
Space-group type: No. 160
Relative energy among the computed polymorphs (eV/f.u.): 2.162
ΔH_f (0 K) (eV per atom): 0.919
E_tot (eV/atom): -3.683

=====

No. 6
Below is crystalline AcSm2Hg6 at its relaxed geometry, with properties calculated at the PBE level.

Lattice parameters (Å, degrees): 3.624 8.753 8.753 120.00 90.00 90.00
Site moments in Bohr magnetons follow the coordinates.
Fractional coordinates of all 9 atoms:
Ac1 0.000 0.000 0.000  0.01
Sm1 0.000 0.333 0.667  0.06
Sm2 0.000 0.667 0.333  0.06
Hg1 0.500 0.338 0.338  0.00
Hg2 0.500 0.662 0.662  0.00
Hg3 0.500 0.000 0.662  0.00
Hg4 0.500 0.662 0.000  0.00
Hg5 0.500 0.338 0.000  0.00
Hg6 0.500 0.000 0.338  0.00

Values from the calculation:
Total magnetization (Bohr magnetons per cell): 0.3
V (Å³/cell): 240.5
Space-group type: No. 191
ΔH_f (0 K) (eV per atom): -0.418
E_tot (eV/atom): -2.124